# PBE-GGA LiMo2HS, relaxed
data_LiMo2HS
_chemical_formula_sum 'Li1 Mo2 H1 S1'
_space_group_name_H-M_alt 'P 1'
_space_group_IT_number 1
_space_group_name_Hall 'P 1'
_cell_length_a 4.518
_cell_length_b 4.518
_cell_length_c 2.851
_cell_angle_alpha 90.00
_cell_angle_beta 90.00
_cell_angle_gamma 90.00
loop_
_atom_site_label
_atom_site_fract_x
_atom_site_fract_y
_atom_site_fract_z
Li1 0.000 0.000 0.000
Mo1 0.000 0.500 0.000
Mo2 0.500 0.000 0.000
H1 0.000 0.000 0.500
S1 0.500 0.500 0.500
# Total energy, eV/atom: -5.30
# Space group: P4/mmm (123)